An optimized crystal structure of LaZrBe2, computed with PBE.

Cell and atoms, written as POSCAR:
```
LaZrBe2
1.0
-1.273 0.006 -2.987
-2.147 -3.547 0.908
-4.540 3.245 1.942
Be La Zr
2 1 1
direct
0.000 0.000 0.953 Be
0.500 0.500 0.262 Be
0.000 0.000 0.449 La
0.500 0.500 0.836 Zr
```

## Properties
Final energy in eV/atom: -4.74
Excess energy over the best structure of this formula in the dataset in kJ per mole of atoms: 40.12
Energy of formation in eV/f.u.: 1.97
Magnetic moment in μB/cell: 0.00
Symmetry: Pmm2 (25)

=====

An optimized crystal structure of Al2BiPd, computed with PBE.

Cell and atoms, written as POSCAR:
```
Al2BiPd
1.0
-3.953 2.387 0.560
-0.747 -2.185 4.038
1.875 6.148 6.353
Bi Pd Al
2 2 4
direct
0.000 0.000 0.000 Bi
0.750 0.250 0.500 Bi
0.500 0.500 0.000 Pd
0.250 0.750 0.500 Pd
0.522 0.125 0.250 Al
0.875 0.772 0.750 Al
0.375 0.478 0.750 Al
0.228 0.625 0.250 Al
```

## Properties
Final energy in eV/atom: -4.26
Energy of formation in eV/f.u.: -0.48
Magnetic moment in μB/cell: 0.00
Symmetry: I-42d (122)

=====

An optimized crystal structure of BaLi2CdBr, computed with PBE.

Cell and atoms, written as POSCAR:
```
BaLi2CdBr
1.0
-5.003 -0.715 0.253
0.781 -6.511 -2.970
0.524 -2.037 4.603
Li Cd Br Ba
2 1 1 1
direct
0.000 0.000 0.500 Li
0.500 0.000 0.000 Li
0.000 0.500 0.000 Cd
0.000 0.000 0.000 Br
0.500 0.500 0.500 Ba
```

## Properties
Final energy in eV/atom: -2.04
Magnetic moment in μB/cell: 0.52
Symmetry: P4/mmm (123)
Formation energy without anion corrections in eV/atom: -0.371

=====

An optimized crystal structure of Cs2Tl2SnBr6, computed with PBE.

Cell and atoms, written as POSCAR:
```
Cs2Tl2SnBr6
1.0
8.456 0.300 0.186
-3.919 7.499 0.186
-1.543 -2.653 7.349
Br Tl Cs Sn
6 2 2 1
direct
0.186 0.186 0.249 Br
0.365 0.067 0.736 Br
0.814 0.814 0.751 Br
0.635 0.933 0.264 Br
0.067 0.365 0.736 Br
0.933 0.635 0.264 Br
0.175 0.825 0.000 Tl
0.825 0.175 0.000 Tl
0.656 0.344 0.500 Cs
0.344 0.656 0.500 Cs
0.000 0.000 0.500 Sn
```

## Properties
Final energy in eV/atom: -3.03
Magnetic moment in μB/cell: 0.00
Symmetry: C2/m (12)
Formation energy without anion corrections in eV/atom: -1.165

=====

An optimized crystal structure of LiCo2Cu, computed with PBE.

Cell and atoms, written as POSCAR:
```
LiCo2Cu
1.0
-0.898 2.029 -3.325
-3.647 -0.311 -1.607
-2.528 3.092 0.167
Co Cu Li
2 1 1
direct
0.750 0.750 0.750 Co
0.000 0.000 0.000 Co
0.500 0.500 0.500 Cu
0.250 0.250 0.250 Li
```

## Properties
Final energy in eV/atom: -4.91
Energy of formation in eV/f.u.: 0.60
Magnetic moment in μB/cell: 3.13
Symmetry: F-43m (216)

=====

An optimized crystal structure of Ca3NdGa4, computed with PBE.

Cell and atoms, written as POSCAR:
```
Ca3NdGa4
1.0
-0.607 5.138 -0.281
-3.786 -0.793 -6.314
-8.822 -0.748 5.384
Ga Ca Nd
8 6 2
direct
0.500 0.753 0.000 Ga
0.500 0.247 0.500 Ga
0.001 0.753 0.750 Ga
0.999 0.753 0.250 Ga
0.500 0.247 0.000 Ga
0.001 0.247 0.750 Ga
0.500 0.753 0.500 Ga
0.999 0.247 0.250 Ga
0.000 0.000 0.500 Ca
0.500 0.500 0.750 Ca
0.500 0.500 0.250 Ca
0.000 0.000 0.000 Ca
0.500 0.000 0.250 Ca
0.500 0.000 0.750 Ca
0.000 0.500 0.500 Nd
0.000 0.500 0.000 Nd
```

## Properties
Final energy in eV/atom: -3.33
Energy of formation in eV/f.u.: -3.76
Magnetic moment in μB/cell: 0.00
Symmetry: P4/mmm (123)

=====

An optimized crystal structure of CsScTl2, computed with PBE.

Cell and atoms, written as POSCAR:
```
CsScTl2
1.0
-5.716 -0.744 -0.486
-2.280 -5.292 0.501
-3.146 -1.365 4.658
Tl Cs Sc
2 1 1
direct
0.250 0.250 0.250 Tl
0.750 0.750 0.750 Tl
0.500 0.500 0.500 Cs
0.000 0.000 0.000 Sc
```

## Properties
Final energy in eV/atom: -2.70
Excess energy over the best structure of this formula in the dataset in kJ per mole of atoms: 37.44
Energy of formation in eV/f.u.: 1.12
Magnetic moment in μB/cell: 0.00
Symmetry: Fm-3m (225)

=====

An optimized crystal structure of NaScTeF2, computed with PBE.

Cell and atoms, written as POSCAR:
```
NaScTeF2
1.0
4.222 0.000 0.000
0.000 4.222 0.000
0.000 0.000 5.802
Te Sc F Na
1 1 2 1
direct
0.000 0.000 0.500 Te
0.000 0.000 0.000 Sc
0.500 0.000 0.000 F
0.000 0.500 0.000 F
0.500 0.500 0.500 Na
```

## Properties
Final energy in eV/atom: -5.43
Magnetic moment in μB/cell: 0.00
Symmetry: P4/mmm (123)
Formation energy without anion corrections in eV/atom: -2.518